Below is crystalline Ce4Nd3S8 at its relaxed geometry, with properties calculated at the PBE level.

Results
Space group   C2/m

abc: 8.095 8.095 8.094
angles: 119.99 119.99 90.00
Atoms (fractional coordinates):
Ce 0.000 0.000 0.000
Ce 0.000 0.500 0.000
Ce 0.500 0.000 0.000
Ce 0.500 0.500 0.500
Nd 0.000 0.000 0.500
Nd 0.000 0.500 0.500
Nd 0.500 0.000 0.500
S 0.249 0.751 0.000
S 0.250 0.250 0.002
S 0.250 0.250 0.498
S 0.251 0.749 0.500
S 0.749 0.251 0.500
S 0.750 0.750 0.502
S 0.750 0.750 0.998
S 0.751 0.249 0.000


Below is crystalline CeNd5S8 at its relaxed geometry, with properties calculated at the PBE level.

Results
Space group   I-4

abc: 7.436 7.436 7.436
angles: 109.63 109.63 109.15
Atoms (fractional coordinates):
Ce 0.000 0.000 0.000
Nd 0.123 0.490 0.868
Nd 0.250 0.750 0.500
Nd 0.510 0.378 0.633
Nd 0.622 0.255 0.132
Nd 0.745 0.877 0.367
S 0.025 0.274 0.397
S 0.226 0.125 0.748
S 0.372 0.975 0.249
S 0.377 0.478 0.252
S 0.522 0.774 0.899
S 0.726 0.123 0.751
S 0.875 0.623 0.101
S 0.877 0.628 0.603


Below is crystalline CeNd4S7 at its relaxed geometry, with properties calculated at the PBE level.

Results
Space group   Cm

abc: 7.003 7.003 11.940
angles: 104.39 104.39 32.81
Atoms (fractional coordinates):
Ce 0.000 0.000 0.000
Nd 0.112 0.112 0.421
Nd 0.224 0.224 0.842
Nd 0.413 0.413 0.611
Nd 0.812 0.812 0.233
S 0.069 0.069 0.636
S 0.155 0.155 0.205
S 0.373 0.373 0.070
S 0.453 0.453 0.371
S 0.611 0.611 0.921
S 0.772 0.772 0.472
S 0.852 0.852 0.772


Below is crystalline Ce5NdS8 at its relaxed geometry, with properties calculated at the PBE level.

Results
Space group   I-4

abc: 7.398 7.398 7.398
angles: 109.53 109.53 109.35
Atoms (fractional coordinates):
Ce 0.000 0.000 0.000
Ce 0.125 0.249 0.625
Ce 0.500 0.875 0.124
Ce 0.624 0.500 0.375
Ce 0.751 0.376 0.876
Nd 0.250 0.750 0.500
S 0.026 0.625 0.750
S 0.224 0.474 0.099
S 0.375 0.125 0.401
S 0.375 0.125 0.901
S 0.526 0.625 0.750
S 0.724 0.974 0.599
S 0.875 0.276 0.250
S 0.875 0.776 0.250


Below is crystalline CeNdS at its relaxed geometry, with properties calculated at the PBE level.

Results
Space group   P3m1

abc: 3.918 3.918 6.572
angles: 90.00 90.00 120.00
Atoms (fractional coordinates):
Ce 0.000 0.000 0.000
Nd 0.333 0.667 0.483
S 0.667 0.333 0.744


Below is crystalline CeNd2S5 at its relaxed geometry, with properties calculated at the PBE level.

Results
Space group   Pnma

abc: 11.992 8.138 7.539
angles: 90.00 90.00 90.00
Atoms (fractional coordinates):
Ce 0.009 0.250 0.072
Ce 0.491 0.750 0.572
Ce 0.509 0.250 0.428
Ce 0.991 0.750 0.928
Nd 0.178 0.000 0.520
Nd 0.178 0.500 0.520
Nd 0.322 0.000 0.020
Nd 0.322 0.500 0.020
Nd 0.678 0.000 0.980
Nd 0.678 0.500 0.980
Nd 0.822 0.000 0.480
Nd 0.822 0.500 0.480
S 0.001 0.250 0.456
S 0.098 0.542 0.161
S 0.098 0.958 0.161
S 0.187 0.250 0.828
S 0.215 0.750 0.802
S 0.285 0.250 0.302
S 0.313 0.750 0.328
S 0.402 0.042 0.661
S 0.402 0.458 0.661
S 0.499 0.750 0.956
S 0.501 0.250 0.044
S 0.598 0.542 0.339
S 0.598 0.958 0.339
S 0.687 0.250 0.672
S 0.715 0.750 0.698
S 0.785 0.250 0.198
S 0.813 0.750 0.172
S 0.902 0.042 0.839
S 0.902 0.458 0.839
S 0.999 0.750 0.544


Here are the calculated M_tot numbers, same order: 4.30; 1.93; 1.04; 6.86; 1.96; 0.00 (μB/cell).
Here are the calculated DFT total energy numbers, same order: -101.39; -91.06; -78.22; -95.81; -18.27; -207.78 (eV per cell).